Crystalline Rb2CdHgO at its relaxed geometry, computed with PBE.

It has space group P4/mmm (No. 123), with a = 7.029 Å, b = 7.029 Å, c = 4.311 Å, α = 90.00°, β = 90.00° and γ = 90.00°. The inequivalent atoms are Rb at (0.000, 0.500, 0.000), Cd at (0.000, 0.000, 0.500), Hg at (0.500, 0.500, 0.000) and O at (0.500, 0.500, 0.500).

The calculation puts the theoretical density at 3.90 g cm⁻³. The calculation puts the raw total energy at -1.7706 eV per atom. As for the energy above the most stable polymorph in this dataset: 352 meV per atom. The calculation puts the raw formation energy at -0.74 eV per formula unit.